Entry 1:
The following is a PBE calculation of Ba2ZrInBr after structural relaxation, from Alexandria.

Lattice parameters (Å, degrees): 6.6906 5.7461 6.6906 90.00 90.00 90.00
Closest atoms and distances in Å follow each position.
Fractional positions:
Ba1 0.5000 0.0000 0.0000  2 In 3.35
Br1 0.0000 0.5000 0.0000  2 In 2.87
Ba2 0.0000 0.0000 0.5000  2 In 3.35
Zr1 0.5000 0.5000 0.5000  8 Ba 4.41, 4 Br 4.73
In1 0.0000 0.0000 0.0000  2 Br 2.87

Summary:
- ΔE_f (raw) (eV/atom) = 0.542
- DFT total energy (eV/cell) = -14.095
- symmetry = P4/mmm (123)

=====

Entry 2:
The following is a PBE calculation of NaAlTe2 after structural relaxation, from Alexandria.

Lattice parameters (Å, degrees): 7.4822 7.4839 6.5514 89.98 89.99 90.05
Closest atoms and distances in Å follow each position.
Fractional positions:
Na1 0.2019 0.4245 0.2045  4 Te 3.16-3.17
Al1 0.7020 0.4248 0.7019  4 Te 2.65
Te1 0.5039 0.2283 0.9503  2 Al 2.65-2.66
Te2 0.8983 0.2267 0.4538  2 Al 2.65-2.66
Al2 0.7020 0.4248 0.2020  4 Te 2.66
Te3 0.5056 0.6227 0.4537  2 Al 2.65-2.66
Te4 0.9001 0.6213 0.9501  2 Al 2.65-2.66
Na2 0.7021 0.9247 0.1988  4 Te 3.16-3.17

Summary:
- ΔE_f (raw) (eV/atom) = -0.674
- DFT total energy (eV/cell) = -28.079
- symmetry = P2 (3)

=====

Entry 3:
The following is a PBE calculation of NbTcOs2 after structural relaxation, from Alexandria.

Lattice parameters (Å, degrees): 4.4442 4.4442 4.4442 60.00 60.00 60.00
Closest atoms and distances in Å follow each position.
Fractional positions:
Nb1 0.0000 0.0000 0.0000  8 Os 2.72
Tc1 0.5000 0.5000 0.5000  8 Os 2.72
Os1 0.7500 0.7500 0.7500  4 Tc 2.72, 4 Nb 2.72
Os2 0.2500 0.2500 0.2500  4 Nb 2.72, 4 Tc 2.72

Summary:
- DFT formation energy (eV per atom) = 0.280
- DFT total energy (eV/cell) = -41.777
- symmetry = Fm-3m (225)

=====

Entry 4:
The following is a PBE calculation of TaVS4 after structural relaxation, from Alexandria.

Lattice parameters (Å, degrees): 5.4661 6.9524 6.9631 122.19 90.00 90.00
Closest atoms and distances in Å follow each position.
Fractional positions:
S1 0.7410 0.1674 0.3237  1 V 2.38, 2 Ta 2.42-2.47
S2 0.7430 0.6730 0.8346  2 V 2.38-2.45, 1 Ta 2.42
S3 0.2430 0.8270 0.1654  2 V 2.38-2.45, 1 Ta 2.42
S4 0.7570 0.1730 0.8346  2 V 2.38-2.45, 1 Ta 2.42
S5 0.2410 0.3326 0.6763  1 V 2.38, 2 Ta 2.42-2.47
S6 0.2570 0.3270 0.1654  2 V 2.38-2.45, 1 Ta 2.42
V1 0.5000 0.5000 0.0000  6 S 2.38-2.45
Ta1 0.5000 0.0000 0.5000  6 S 2.42-2.47
S7 0.7590 0.6674 0.3237  1 V 2.38, 2 Ta 2.42-2.47
V2 0.0000 0.0000 0.0000  6 S 2.38-2.45
S8 0.2590 0.8326 0.6763  1 V 2.38, 2 Ta 2.42-2.47
Ta2 0.0000 0.5000 0.5000  6 S 2.42-2.47

Summary:
- ΔE_f (raw) (eV/atom) = -0.823
- DFT total energy (eV/cell) = -84.833
- symmetry = P2_1/c (14)

=====

Entry 5:
The following is a PBE calculation of EuMgSnHg after structural relaxation, from Alexandria.

Lattice parameters (Å, degrees): 5.2908 5.2908 5.2908 60.00 60.00 60.00
Closest atoms and distances in Å follow each position.
Fractional positions:
Sn1 0.2500 0.2500 0.2500  4 Eu 3.24, 4 Mg 3.24
Eu1 0.0000 0.0000 0.0000  4 Sn 3.24, 4 Hg 3.24
Mg1 0.5000 0.5000 0.5000  4 Hg 3.24, 4 Sn 3.24
Hg1 0.7500 0.7500 0.7500  4 Mg 3.24, 4 Eu 3.24

Summary:
- DFT formation energy (eV per atom) = -0.478
- DFT total energy (eV/cell) = -18.086
- symmetry = F-43m (216)

=====

Entry 6:
The following is a PBE calculation of Hg3PdC after structural relaxation, from Alexandria.

Lattice parameters (Å, degrees): 4.6217 4.6217 4.6217 90.00 90.00 90.00
Closest atoms and distances in Å follow each position.
Fractional positions:
C1 0.0000 0.0000 0.0000  6 Hg 2.31
Hg1 0.5000 0.0000 0.0000  2 C 2.31
Hg2 0.0000 0.5000 0.0000  2 C 2.31
Pd1 0.5000 0.5000 0.5000  12 Hg 3.27
Hg3 0.0000 0.0000 0.5000  2 C 2.31

Summary:
- DFT formation energy (eV per atom) = 1.057
- DFT total energy (eV/cell) = -10.039
- symmetry = Pm-3m (221)

=====

Entry 7:
The following is a PBE calculation of NaRe2Se after structural relaxation, from Alexandria.

Lattice parameters (Å, degrees): 3.8858 3.8858 10.2147 79.04 79.04 90.00
Closest atoms and distances in Å follow each position.
Fractional positions:
Se1 0.7500 0.2500 0.5000  4 Re 2.74, 4 Na 2.75
Re1 0.8750 0.9422 0.7500  2 Re 2.41
Re2 0.3750 0.3078 0.7500  2 Re 2.41
Na1 0.2500 0.7500 0.5000  4 Se 2.75, 4 Re 2.92
Re3 0.6922 0.1250 0.2500  2 Re 2.41
Na2 0.5000 0.5000 0.0000  4 Se 2.75, 4 Re 2.92
Re4 0.0578 0.6250 0.2500  2 Re 2.41
Se2 0.0000 0.0000 0.0000  4 Re 2.74, 4 Na 2.75

Summary:
- ΔE_f (raw) (eV/atom) = 0.808
- DFT total energy (eV/cell) = -52.937
- symmetry = I-42d (122)

=====

Entry 8:
The following is a PBE calculation of Sc6Ga5Co after structural relaxation, from Alexandria.

Lattice parameters (Å, degrees): 4.6936 6.6653 7.4201 90.00 71.56 90.00
Closest atoms and distances in Å follow each position.
Fractional positions:
Ga1 0.6698 0.5000 0.6605  8 Sc 2.90-2.93
Sc1 0.1629 0.7557 0.6742  1 Co 2.81, 7 Ga 2.86-2.94
Ga2 0.6632 0.0000 0.6737  8 Sc 2.82-2.94
Sc2 0.5000 0.7542 0.0000  6 Ga 2.82-2.93, 2 Co 2.86
Sc3 0.1629 0.2443 0.6742  1 Co 2.81, 7 Ga 2.86-2.94
Sc4 0.5000 0.2458 0.0000  6 Ga 2.82-2.93, 2 Co 2.86
Ga3 0.3302 0.5000 0.3395  8 Sc 2.90-2.93
Sc5 0.8371 0.2443 0.3258  1 Co 2.81, 7 Ga 2.86-2.94
Sc6 0.8371 0.7557 0.3258  1 Co 2.81, 7 Ga 2.86-2.94
Co1 0.0000 0.0000 0.0000  8 Sc 2.81-2.86
Ga4 0.3368 0.0000 0.3263  8 Sc 2.82-2.94
Ga5 0.0000 0.5000 0.0000  8 Sc 2.86-2.89

Summary:
- DFT formation energy (eV per atom) = -0.560
- DFT total energy (eV/cell) = -66.947
- symmetry = Cmmm (65)

=====

Entry 9:
The following is a PBE calculation of YGePtN2 after structural relaxation, from Alexandria.

Lattice parameters (Å, degrees): 4.0071 4.8465 4.0071 90.00 90.00 90.00
Closest atoms and distances in Å follow each position.
Fractional positions:
N1 0.0000 0.0000 0.5000  2 Ge 2.00
Pt1 0.0000 0.5000 0.0000  2 Ge 2.42
Ge1 0.0000 0.0000 0.0000  4 N 2.00
Y1 0.5000 0.5000 0.5000  4 Pt 2.83, 8 N 3.14
N2 0.5000 0.0000 0.0000  2 Ge 2.00

Summary:
- ΔE_f (raw) (eV/atom) = 0.351
- DFT total energy (eV/cell) = -32.018
- symmetry = P4/mmm (123)

=====

Entry 10:
The following is a PBE calculation of Sm3Y5Er4 after structural relaxation, from Alexandria.

Lattice parameters (Å, degrees): 5.6817 9.6713 9.3425 113.79 72.30 72.92
Closest atoms and distances in Å follow each position.
Fractional positions:
Sm1 0.5413 0.2746 0.6428  1 Y 2.97
Y1 0.2681 0.3932 0.0706  2 Sm 3.34-3.39, 3 Er 3.54-3.62, 1 Y 3.62
Sm2 0.0000 0.5000 0.5000  2 Y 2.84
Er1 0.0613 0.1464 0.7310  1 Er 3.27, 3 Sm 3.33-3.49, 3 Y 3.47-3.62
Er2 0.8397 0.1963 0.1242  1 Y 2.98, 2 Er 3.06-3.27
Sm3 0.4587 0.7254 0.3572  1 Y 2.97
Y2 0.5000 0.5000 0.5000  4 Sm 2.84-2.97, 2 Er 2.98
Y3 0.7319 0.6068 0.9294  2 Sm 3.34-3.39, 3 Er 3.54-3.62, 1 Y 3.62
Er3 0.9387 0.8536 0.2690  1 Er 3.27, 3 Sm 3.33-3.49, 3 Y 3.47-3.62
Y4 0.3373 0.0643 0.2610  2 Sm 3.39-3.67, 4 Er 3.47-3.56, 1 Y 3.62
Er4 0.1603 0.8037 0.8758  1 Y 2.98, 2 Er 3.06-3.27
Y5 0.6627 0.9357 0.7390  2 Sm 3.39-3.67, 4 Er 3.47-3.56, 1 Y 3.62

Summary:
- DFT formation energy (eV per atom) = 0.271
- DFT total energy (eV/cell) = -61.481
- symmetry = C2/m (12)

=====

Entry 11:
The following is a PBE calculation of La2YCdO after structural relaxation, from Alexandria.

Lattice parameters (Å, degrees): 5.1199 5.1199 4.7837 90.00 90.00 90.00
Closest atoms and distances in Å follow each position.
Fractional positions:
La1 0.0000 0.5000 0.0000  2 O 2.56
La2 0.5000 0.0000 0.0000  2 O 2.56
O1 0.0000 0.0000 0.0000  2 Y 2.39, 4 La 2.56
Cd1 0.5000 0.5000 0.5000  8 La 3.50, 4 Y 3.62
Y1 0.0000 0.0000 0.5000  2 O 2.39

Summary:
- ΔE_f (raw) (eV/atom) = -1.294
- DFT total energy (eV/cell) = -28.662
- symmetry = P4/mmm (123)

=====

Entry 12:
The following is a PBE calculation of Zr3SiB after structural relaxation, from Alexandria.

Lattice parameters (Å, degrees): 4.5580 4.5580 4.5580 90.00 90.00 90.00
Closest atoms and distances in Å follow each position.
Fractional positions:
Zr1 0.0000 0.0000 0.5000  2 B 2.28
B1 0.0000 0.0000 0.0000  6 Zr 2.28
Zr2 0.5000 0.0000 0.0000  2 B 2.28
Zr3 0.0000 0.5000 0.0000  2 B 2.28
Si1 0.5000 0.5000 0.5000  12 Zr 3.22

Summary:
- ΔE_f (raw) (eV/atom) = -0.328
- DFT total energy (eV/cell) = -39.383
- symmetry = Pm-3m (221)

=====

Question: Among the records above, which one has the highest DFT total energy?
Answer: Hg3PdC

=====

Please write out number 3 again, unchanged.
The following is a PBE calculation of NbTcOs2 after structural relaxation, from Alexandria.

Lattice parameters (Å, degrees): 4.4442 4.4442 4.4442 60.00 60.00 60.00
Closest atoms and distances in Å follow each position.
Fractional positions:
Nb1 0.0000 0.0000 0.0000  8 Os 2.72
Tc1 0.5000 0.5000 0.5000  8 Os 2.72
Os1 0.7500 0.7500 0.7500  4 Tc 2.72, 4 Nb 2.72
Os2 0.2500 0.2500 0.2500  4 Nb 2.72, 4 Tc 2.72

Summary:
- DFT formation energy (eV per atom) = 0.280
- DFT total energy (eV/cell) = -41.777
- symmetry = Fm-3m (225)

=====

Question: What is the DFT total energy in the eighth record?
Answer: -66.947 eV/cell